## PmSm4Er2 (PBE)

Data for a geometry-optimized PmSm4Er2 structure.

Results
ΔE to the lowest computed polymorph	92	meV/atom
symmetry	P2_1/m
formation energy	0.126	eV per atom

Unit cell a=6.179 b=6.611 c=11.712 alpha=90.00 beta=105.72 gamma=90.00
Positions (direct):
1 Pm 0.163 0.750 0.154
2 Pm 0.837 0.250 0.846
3 Sm 0.647 0.501 0.287
4 Sm 0.013 0.750 0.852
5 Sm 0.987 0.250 0.148
6 Sm 0.647 0.999 0.287
7 Sm 0.854 0.250 0.558
8 Sm 0.353 0.001 0.713
9 Sm 0.353 0.499 0.713
10 Sm 0.146 0.750 0.442
11 Er 0.601 0.750 0.999
12 Er 0.399 0.250 0.001
13 Er 0.292 0.250 0.435
14 Er 0.708 0.750 0.565


## PmHo2Te3 (PBE)

Data for a geometry-optimized PmHo2Te3 structure.

Results
symmetry	Immm
uncorrected formation energy	-1.300	eV/atom

Unit cell a=4.391 b=6.171 c=7.593 alpha=113.98 beta=106.81 gamma=90.00
Positions (direct):
1 Pm 0.500 0.500 0.500
2 Ho 0.841 0.841 0.183
3 Ho 0.159 0.159 0.817
4 Te 0.825 0.325 0.150
5 Te 0.175 0.675 0.850
6 Te 0.500 0.000 0.500


## BaSe2Cl (PBE)

Data for a geometry-optimized BaSe2Cl structure.

Results
ΔE to the lowest computed polymorph	190	meV/atom
symmetry	Pmmm
uncorrected formation energy	-1.163	eV/atom

Unit cell a=4.713 b=4.732 c=6.096 alpha=90.00 beta=90.00 gamma=90.00
Positions (direct):
1 Ba 0.500 0.500 0.250
2 Cl 0.500 0.500 0.750
3 Se 0.000 0.000 0.058
4 Se 0.000 0.000 0.442


## TaCdHg (PBE)

Data for a geometry-optimized TaCdHg structure.

Results
ΔE to the lowest computed polymorph	62	meV/atom
symmetry	Fmm2
formation energy	0.283	eV per atom

Unit cell a=7.225 b=7.220 c=2.937 alpha=78.36 beta=78.18 gamma=23.46
Positions (direct):
1 Cd 0.004 0.004 0.996
2 Hg 0.329 0.329 0.671
3 Ta 0.667 0.667 0.333


no.,total moment (μB/f.u.)
1,0.0
2,0.0
3,1.0
4,0.0